First-principles (PBE-GGA) data for an optimized crystal structure of GeSeBr2F, as listed in Alexandria via LeMat-Bulk.

Results
Calculated density   4.5 g/cm³
E_form (uncorrected)   59 kJ/mol of formula units
Energy relative to the lowest polymorph listed for this composition   48.9 meV per atom
VASP energy   -2.542 eV/atom

abc: 5.6085 5.6085 3.9192
angles: 90.00 90.00 90.00
With the nearest neighbours (Å) after each atom.
Space group P4/mmm (No. 123)
Unique sites:
Ge (0.0000, 0.0000, 0.0000) [1 per cell]  8 Br 3.42
Se (0.5000, 0.5000, 0.0000) [1 per cell]  2 F 1.96
Br (0.0000, 0.5000, 0.5000) [2 per cell]  2 F 2.80
F (0.5000, 0.5000, 0.5000) [1 per cell]  2 Se 1.96